La2VBr (PBE, optimized geometry); space-group type = Fm-3m, No. 225; raw formation energy = -0.01 eV/atom
1.0
-3.966 -2.813 2.383
-3.078 2.339 3.792
-5.176 1.184 -1.065
La Br V
2 1 1
Direct
0.250 0.250 0.250
0.750 0.750 0.750
0.500 0.500 0.500
0.000 0.000 0.000